(1)
# KOsPt

A relaxed structure of KOsPt (PBE, the Alexandria database).

Geometry as POSCAR:
```
KOsPt
1.0
6.5686 0.0361 0.0000
4.7547 4.5322 0.0000
-5.6617 -2.2841 2.4241
K Os Pt
1 1 1
direct
0.0018 0.0018 0.0000 K
0.2795 0.2795 0.0000 Os
0.7188 0.7188 0.0000 Pt
```

- crystal system = tetragonal
- energy (eV per cell) = -16.08
- space group = I4mm
- energy of formation from the pure elements (eV per atom) = 0.76

---

(2)
# Al2FeW

A relaxed structure of Al2FeW (PBE, the Alexandria database).

Geometry as POSCAR:
```
Al2FeW
1.0
6.7673 0.0000 0.0000
0.0000 6.7673 0.0000
3.3837 3.3837 2.6439
Fe Al W
2 4 2
direct
0.5000 0.5000 0.0000 Fe
0.2500 0.7500 0.5000 Fe
0.5957 0.1250 0.2500 Al
0.3750 0.4043 0.7500 Al
0.1543 0.6250 0.2500 Al
0.8750 0.8457 0.7500 Al
0.0000 0.0000 0.0000 W
0.7500 0.2500 0.5000 W
```

- crystal system = tetragonal
- energy (eV per cell) = -54.23
- space group = I-42d
- energy of formation from the pure elements (eV per atom) = 0.45

---

(3)
# SiBAuC

A relaxed structure of SiBAuC (PBE, the Alexandria database).

Geometry as POSCAR:
```
SiBAuC
1.0
-3.1141 0.7770 -0.6115
0.1696 -1.2841 -2.4953
-0.1478 -5.6028 2.8733
Au B C Si
1 1 1 1
direct
0.4210 0.0000 0.8246 Au
0.2018 0.5000 0.3726 B
0.2505 0.0000 0.4738 C
0.5901 0.5000 0.1618 Si
```

- formation energy from raw total energies (eV/f.u.) = 1.92
- crystal system = monoclinic
- energy (eV per cell) = -22.69
- space group = Pm

---

(4)
# Pm8Hg2Os

A relaxed structure of Pm8Hg2Os (PBE, the Alexandria database).

Geometry as POSCAR:
```
Pm8Hg2Os
1.0
-1.5723 -3.5143 3.2581
-6.2884 -2.2431 -5.4540
8.4222 -2.0521 -2.0530
Pm Os Hg
8 1 2
direct
0.8816 0.8816 0.7633 Pm
0.3487 0.5837 0.6974 Pm
0.1184 0.1184 0.2367 Pm
0.0000 0.3330 0.0000 Pm
0.6513 0.8863 0.3025 Pm
0.0000 0.6670 0.0000 Pm
0.3487 0.1137 0.6975 Pm
0.6513 0.4163 0.3026 Pm
0.5000 0.0000 0.0000 Os
0.8010 0.3010 0.6021 Hg
0.1990 0.6990 0.3979 Hg
```

- crystal system = orthorhombic
- energy (eV per cell) = -50.77
- space group = Immm
- energy of formation from the pure elements (eV per atom) = -0.08

---

(5)
# B5C7

A relaxed structure of B5C7 (PBE, the Alexandria database).

Geometry as POSCAR:
```
B5C7
1.0
2.5555 0.0000 0.0000
0.0000 4.7499 -0.2581
0.0000 -0.3612 6.4904
C B
7 5
direct
0.5000 0.5184 0.9998 C
0.0000 0.0007 0.2739 C
0.5000 0.5329 0.2371 C
0.5000 0.8418 0.3387 C
0.0000 0.6480 0.9133 C
0.5000 0.8387 0.5735 C
0.5000 0.1367 0.6645 C
0.5000 0.1907 0.9047 B
0.0000 0.9837 0.0247 B
0.0000 0.2869 0.5927 B
0.0000 0.3587 0.3173 B
0.0000 0.6626 0.6597 B
```

- crystal system = monoclinic
- energy (eV per cell) = -93.79
- space group = Pm
- energy of formation from the pure elements (eV per atom) = 0.35

---

(6)
# KBe2Zn

A relaxed structure of KBe2Zn (PBE, the Alexandria database).

Geometry as POSCAR:
```
KBe2Zn
1.0
4.7210 -0.1024 0.0000
0.1074 4.7208 0.0000
-2.4142 -2.3092 3.3372
Be K Zn
2 1 1
direct
0.2500 0.7500 0.5000 Be
0.0000 0.0000 0.0000 Be
0.5000 0.5000 0.0000 K
0.7500 0.2500 0.5000 Zn
```

- crystal system = cubic
- energy (eV per cell) = -5.71
- space group = F-43m
- energy of formation from the pure elements (eV per atom) = 1.03